A geometry-optimized SrU2S6 structure, computed with PBE-GGA.

Cell lengths 6.2711, 6.9111, 6.9111 Å; angles 120.00, 90.00, 90.00 degrees
Last column: nearest neighbours and their distance in Å.
Fractional coordinates of all 9 atoms:
S  0.7285  0.6314  0.6314  2 U 2.62
S  0.7285  0.3686  0.0000  2 U 2.62
S  0.2715  0.0000  0.6314  2 U 2.62
S  0.2715  0.3686  0.3686  2 U 2.62
S  0.7285  0.0000  0.3686  2 U 2.62
S  0.2715  0.6314  0.0000  2 U 2.62
U  0.5000  0.3333  0.6667  6 S 2.62
U  0.5000  0.6667  0.3333  6 S 2.62
Sr  0.0000  0.0000  0.0000  6 S 3.06

Computed properties:
* formation energy from raw total energies: -1.44 eV/atom